Density functional theory data (GGA-PBE) for crystalline Be2TcP at its relaxed geometry.

Cell: 2.5421 2.5421 7.3462 Å, 90.00 90.00 90.00°
Fractional coordinates of all 4 atoms:
Be 0.0000 0.0000 0.2414
Be 0.0000 0.0000 0.7586
Tc 0.5000 0.5000 0.0000
P 0.5000 0.5000 0.5000

formation energy from the elements = 0.312 eV/atom
total DFT energy (no corrections) = -5.50 eV per atom

***

Density functional theory data (GGA-PBE) for crystalline H2PbI3 at its relaxed geometry.

Cell: 8.2011 8.2011 6.8328 Å, 104.21 104.21 96.17°
Fractional coordinates of all 12 atoms:
H 0.0389 0.7153 0.8892
H 0.2847 0.9611 0.6108
H 0.7153 0.0389 0.3892
H 0.9611 0.2847 0.1108
Pb 0.4777 0.5223 0.2500
Pb 0.5223 0.4777 0.7500
I 0.1071 0.2746 0.9676
I 0.2677 0.7323 0.7500
I 0.2746 0.1071 0.4676
I 0.7254 0.8929 0.5324
I 0.7323 0.2677 0.2500
I 0.8929 0.7254 0.0324

total DFT energy (no corrections) = -2.56 eV per atom

***

Please write out number 1 again, unchanged.
Density functional theory data (GGA-PBE) for crystalline Be2TcP at its relaxed geometry.

Cell: 2.5421 2.5421 7.3462 Å, 90.00 90.00 90.00°
Fractional coordinates of all 4 atoms:
Be 0.0000 0.0000 0.2414
Be 0.0000 0.0000 0.7586
Tc 0.5000 0.5000 0.0000
P 0.5000 0.5000 0.5000

formation energy from the elements = 0.312 eV/atom
total DFT energy (no corrections) = -5.50 eV per atom

***

> Which of these has the highest total DFT energy (no corrections)?

H2PbI3